1.
DFT (PBE-GGA) results for KPuSn2Br8 after structural relaxation.

The calculation puts the calculated density at 4.23 g/cm3. The value obtained for the formation energy (no corrections) is -1.16 eV/atom. Its total energy is -50.75 eV per formula unit.

abc: 7.214 6.943 9.091
angles: 90.02 90.06 88.89
Each line ends with the local moment (μB).
Fractional positions:
Br 0.158 0.753 0.776  -0.03
Br 0.677 0.755 0.999  -0.03
Br 0.842 0.247 0.224  -0.03
Br 0.323 0.245 0.001  -0.03
Br 0.633 0.726 0.501  0.00
Br 0.842 0.247 0.776  -0.03
Br 0.367 0.274 0.499  0.00
Br 0.158 0.753 0.224  -0.03
Pu 0.000 0.000 0.000  5.07
K 0.000 0.000 0.500  0.00
Sn 0.500 0.500 0.747  0.00
Sn 0.500 0.500 0.253  0.00

=====

2.
DFT (PBE-GGA) results for KPuTiBr6 after structural relaxation.

The calculation puts the calculated density at 4.12 g/cm3. The value obtained for the formation energy (no corrections) is -1.45 eV/atom. Its total energy is -46.40 eV per formula unit.

abc: 7.093 7.093 15.002
angles: 90.00 90.00 120.00
Each line ends with the local moment (μB).
Fractional positions:
Ti 0.667 0.333 0.250  1.36
Ti 0.333 0.667 0.750  1.36
Br 0.629 0.971 0.856  -0.02
Br 0.971 0.342 0.144  -0.02
Br 0.629 0.658 0.644  -0.02
Br 0.342 0.371 0.856  -0.02
Br 0.342 0.971 0.644  -0.02
Br 0.971 0.629 0.356  -0.02
Br 0.029 0.658 0.856  -0.02
Br 0.658 0.629 0.144  -0.02
Br 0.029 0.371 0.644  -0.02
Br 0.658 0.029 0.356  -0.02
Br 0.371 0.029 0.144  -0.02
Br 0.371 0.342 0.356  -0.02
Pu 0.333 0.667 0.250  5.38
Pu 0.667 0.333 0.750  5.38
K 0.000 0.000 0.000  0.00
K 0.000 0.000 0.500  0.00

=====

3.
DFT (PBE-GGA) results for KPu2TlBr8 after structural relaxation.

The calculation puts the calculated density at 4.74 g/cm3. The value obtained for the formation energy (no corrections) is -1.44 eV/atom. Its total energy is -62.74 eV per formula unit.

abc: 7.637 7.073 8.906
angles: 89.98 89.99 87.68
Each line ends with the local moment (μB).
Fractional positions:
Br 0.815 0.279 0.749  -0.03
Br 0.185 0.721 0.749  -0.03
Br 0.628 0.726 0.500  -0.05
Br 0.372 0.274 0.500  -0.05
Br 0.373 0.274 0.000  -0.05
Br 0.815 0.279 0.251  -0.03
Br 0.627 0.726 0.000  -0.05
Br 0.185 0.721 0.251  -0.03
Pu 0.500 0.500 0.750  5.09
Pu 0.500 0.500 0.250  5.09
K 0.000 0.000 0.500  0.00
Tl 0.000 0.000 0.000  0.00